Entry from Alexandria: a PBEsol-optimized structure of RbTaRh3 (SCAN).

Geometry as POSCAR:
```
RbTaRh3
1.0
4.796 0.000 0.000
0.000 4.796 0.000
0.000 0.000 4.796
Rh Rb Ta
3 1 1
Cartesian
0.000 0.000 2.398
2.398 0.000 0.000
0.000 2.398 0.000
2.398 2.398 2.398
0.000 0.000 0.000
```

distance to the lowest polymorph of the same formula: 0.000 eV/atom
DFT total energy: -37.033 eV/atom
ΔH_f (0 K): 0.69 eV per atom